VASP calculation (PBE with a Hubbard U) on crystalline CoPd2F6 at its relaxed geometry.

Output
Energy: -4.2830 eV per atom
Spin magnetization: 5.021 μB per formula unit

Geometry as CIF:
```
data_CoPd2F6
_symmetry_space_group_name_H-M 'C 1 2/c 1'
_symmetry_Int_Tables_number 15
_symmetry_space_group_name_Hall '-C 2yc'
_cell_length_a 11.7040
_cell_length_b 9.1095
_cell_length_c 5.6284
_cell_angle_alpha 90.00
_cell_angle_beta 92.25
_cell_angle_gamma 90.00
loop_
_atom_site_label
_atom_site_fract_x
_atom_site_fract_y
_atom_site_fract_z
Co1 0.0000 0.0915 0.2500
Pd1 0.2385 0.3533 0.3485
F1 0.0952 0.0624 0.5693
F2 0.1081 0.2491 0.1694
F3 0.1931 0.4511 0.6676
```